Record 1
Density functional theory data (PBE) for a relaxed Hf2ScNiP crystal.

Size of the total moment = 0.00 μB per formula unit
Formation energy from the elements = 1.251 eV/atom
Offset from the most stable computed form = 1180 meV/atom
DOS(E_F) = 1.471 states/eV per atom
V = 22.50 Å³/atom

Cell and atoms, written as CIF:
```
data_Hf2ScNiP
_chemical_formula_sum 'Hf2 Sc1 Ni1 P1'
_cell_length_a 4.9235
_cell_length_b 4.9235
_cell_length_c 4.6415
_cell_angle_alpha 90.00
_cell_angle_beta 90.00
_cell_angle_gamma 90.00
_space_group_name_H-M_alt 'P 4/m m m'
_space_group_IT_number 123
_space_group_name_Hall '-P 4 2'
loop_
_atom_site_label
_atom_site_type_symbol
_atom_site_fract_x
_atom_site_fract_y
_atom_site_fract_z
Hf1 Hf 0.0000 0.5000 0.0000
Sc1 Sc 0.0000 0.0000 0.0000
Ni1 Ni 0.5000 0.5000 0.5000
P1 P 0.0000 0.0000 0.5000
```

***

Record 2
Density functional theory data (PBE) for a relaxed YMgNi5Ge2 crystal.

Size of the total moment = 0.00 μB per formula unit
Formation energy from the elements = -0.255 eV/atom
DOS(E_F) = 0.516 states/eV per atom
V = 15.09 Å³/atom

Cell and atoms, written as CIF:
```
data_YMgNi5Ge2
_chemical_formula_sum 'Y1 Mg1 Ni5 Ge2'
_cell_length_a 3.9653
_cell_length_b 3.9653
_cell_length_c 8.6357
_cell_angle_alpha 90.00
_cell_angle_beta 90.00
_cell_angle_gamma 90.00
_space_group_name_H-M_alt 'P 4/m m m'
_space_group_IT_number 123
_space_group_name_Hall '-P 4 2'
loop_
_atom_site_label
_atom_site_type_symbol
_atom_site_fract_x
_atom_site_fract_y
_atom_site_fract_z
Y1 Y 0.0000 0.0000 0.0000
Mg1 Mg 0.0000 0.0000 0.5000
Ni1 Ni 0.0000 0.5000 0.2222
Ni2 Ni 0.5000 0.5000 0.0000
Ge1 Ge 0.5000 0.5000 0.3586
```

***

Record 3
Density functional theory data (PBE) for a relaxed YCrCl2 crystal.

ΔE_f (raw) = -0.24 eV/atom
Size of the total moment = 4.99 μB per formula unit
Offset from the most stable computed form = 582 meV/atom
DOS(E_F) = 0.324 states/eV per atom
V = 22.78 Å³/atom

Cell and atoms, written as CIF:
```
data_YCrCl2
_chemical_formula_sum 'Y4 Cr4 Cl8'
_cell_length_a 7.1435
_cell_length_b 7.1435
_cell_length_c 7.1435
_cell_angle_alpha 90.00
_cell_angle_beta 90.00
_cell_angle_gamma 90.00
_space_group_name_H-M_alt 'F -4 3 m'
_space_group_IT_number 216
_space_group_name_Hall 'F -4 2 3'
loop_
_atom_site_label
_atom_site_type_symbol
_atom_site_fract_x
_atom_site_fract_y
_atom_site_fract_z
Y1 Y 0.0000 0.0000 0.0000
Cr1 Cr 0.2500 0.2500 0.7500
Cl1 Cl 0.0000 0.0000 0.5000
Cl2 Cl 0.2500 0.2500 0.2500
```

***

Record 4
Density functional theory data (PBE) for a relaxed RePdSe3 crystal.

ΔE_f (raw) = 0.72 eV/atom
Size of the total moment = 0.00 μB per formula unit
Offset from the most stable computed form = 905 meV/atom
DOS(E_F) = 1.180 states/eV per atom
V = 23.19 Å³/atom

Cell and atoms, written as CIF:
```
data_RePdSe3
_chemical_formula_sum 'Re1 Pd1 Se3'
_cell_length_a 4.8760
_cell_length_b 4.8760
_cell_length_c 4.8760
_cell_angle_alpha 90.00
_cell_angle_beta 90.00
_cell_angle_gamma 90.00
_space_group_name_H-M_alt 'P m -3 m'
_space_group_IT_number 221
_space_group_name_Hall '-P 4 2 3'
loop_
_atom_site_label
_atom_site_type_symbol
_atom_site_fract_x
_atom_site_fract_y
_atom_site_fract_z
Re1 Re 0.0000 0.0000 0.0000
Pd1 Pd 0.5000 0.5000 0.5000
Se1 Se 0.0000 0.0000 0.5000
```